Entry 1:
## AcPrEuGa (GGA-PBE)

Data for an optimized crystal structure of AcPrEuGa.

Unit cell a=8.034 b=8.034 c=8.034 alpha=90.00 beta=90.00 gamma=90.00
Space group F-43m (No. 216)
Inequivalent atoms, fractional coordinates:
Ac  0.000  0.000  0.000
Pr  0.250  0.250  0.250
Eu  0.250  0.250  0.750
Ga  0.000  0.000  0.500

Energy relative to the elements, eV per atom: 0.03
Final energy, eV per formula unit: -22.07
DOS at the Fermi energy, states/eV/f.u.: 5.98



Entry 2:
## AcEuPuGa (GGA-PBE)

Data for an optimized crystal structure of AcEuPuGa.

Unit cell a=7.858 b=7.858 c=7.858 alpha=90.00 beta=90.00 gamma=90.00
Space group F-43m (No. 216)
Inequivalent atoms, fractional coordinates:
Ac  0.000  0.000  0.000
Eu  0.250  0.250  0.750
Pu  0.250  0.250  0.250
Ga  0.000  0.000  0.500

Energy relative to the elements, eV per atom: 0.19
Final energy, eV per formula unit: -31.00
DOS at the Fermi energy, states/eV/f.u.: 14.79



Entry 3:
## AcEuGaRu (GGA-PBE)

Data for an optimized crystal structure of AcEuGaRu.

Unit cell a=7.404 b=7.404 c=7.404 alpha=90.00 beta=90.00 gamma=90.00
Space group F-43m (No. 216)
Inequivalent atoms, fractional coordinates:
Ac  0.000  0.000  0.000
Eu  0.000  0.000  0.500
Ga  0.250  0.250  0.750
Ru  0.250  0.250  0.250

Energy relative to the elements, eV per atom: -0.10
Final energy, eV per formula unit: -27.08
DOS at the Fermi energy, states/eV/f.u.: 5.22



Entry 4:
## AcEuGaSb (GGA-PBE)

Data for an optimized crystal structure of AcEuGaSb.

Unit cell a=7.892 b=7.892 c=7.892 alpha=90.00 beta=90.00 gamma=90.00
Space group F-43m (No. 216)
Inequivalent atoms, fractional coordinates:
Ac  0.000  0.000  0.000
Eu  0.000  0.000  0.500
Ga  0.250  0.250  0.750
Sb  0.250  0.250  0.250

Final energy, eV per formula unit: -23.99
DOS at the Fermi energy, states/eV/f.u.: 3.53
ΔE_f (raw), meV/atom: -616